Density functional theory data (PBE) for crystalline Rb3CeTl2O6 at its relaxed geometry.

Output
The uncorrected formation energy comes out at -1.49 eV per atom.

Cell: 6.5325 6.5325 7.4763 Å, 90.00 90.00 120.00°
Closest atoms and distances in Å follow each position.
Sites, in units of the cell vectors:
O: 0.8428 0.6856 0.6802  1 Tl 2.16, 1 Ce 2.23
O: 0.8428 0.1572 0.6802  1 Tl 2.16, 1 Ce 2.23
O: 0.3144 0.1572 0.6802  1 Tl 2.16, 1 Ce 2.23
O: 0.1572 0.3144 0.3198  1 Tl 2.16, 1 Ce 2.23
O: 0.6856 0.8428 0.3198  1 Tl 2.16, 1 Ce 2.23
O: 0.1572 0.8428 0.3198  1 Tl 2.16, 1 Ce 2.23
Rb: 0.0000 0.0000 0.0000  6 O 2.98
Rb: 0.3333 0.6667 0.6632  9 O 3.25-3.27, 1 Tl 3.39
Rb: 0.6667 0.3333 0.3368  9 O 3.25-3.27, 1 Tl 3.39
Tl: 0.6667 0.3333 0.7908  3 O 2.16
Tl: 0.3333 0.6667 0.2092  3 O 2.16
Ce: 0.0000 0.0000 0.5000  6 O 2.23